1.
A relaxed MgHgHPt2 crystal, computed with PBE-GGA.

Lattice parameters (Å, degrees): 4.0709 4.0709 4.2619 90.00 90.00 90.00
Sites, in units of the cell vectors:
Mg  0.0000  0.0000  0.0000
Hg  0.5000  0.5000  0.0000
H  0.0000  0.0000  0.5000
Pt  0.0000  0.5000  0.5000
Pt  0.5000  0.0000  0.5000

- space-group type = No. 123
- final energy (eV per atom) = -3.7570
- offset from the most stable computed form (meV/atom) = 0

2.
A relaxed MgHgHPt2 crystal, computed with PBE-GGA.

Lattice parameters (Å, degrees): 4.0810 4.0810 4.3186 90.00 90.00 90.00
Sites, in units of the cell vectors:
Mg  0.0000  0.0000  0.0000
Hg  0.5000  0.5000  0.0000
H  0.5000  0.5000  0.5000
Pt  0.0000  0.5000  0.5000
Pt  0.5000  0.0000  0.5000

- space-group type = No. 123
- final energy (eV per atom) = -3.6462
- offset from the most stable computed form (meV/atom) = 111

3.
A relaxed MgHgHRh2 crystal, computed with PBE-GGA.

Lattice parameters (Å, degrees): 4.0634 4.0634 4.1242 90.00 90.00 90.00
Sites, in units of the cell vectors:
Mg  0.0000  0.0000  0.0000
Hg  0.5000  0.5000  0.0000
H  0.5000  0.5000  0.5000
Rh  0.0000  0.5000  0.5000
Rh  0.5000  0.0000  0.5000

- space-group type = No. 123
- final energy (eV per atom) = -4.0536
- offset from the most stable computed form (meV/atom) = 135

4.
A relaxed MgHgHRh2 crystal, computed with PBE-GGA.

Lattice parameters (Å, degrees): 4.0342 4.0342 4.0862 90.00 90.00 90.00
Sites, in units of the cell vectors:
Mg  0.0000  0.0000  0.0000
Hg  0.5000  0.5000  0.0000
H  0.0000  0.0000  0.5000
Rh  0.0000  0.5000  0.5000
Rh  0.5000  0.0000  0.5000

- space-group type = No. 123
- final energy (eV per atom) = -4.1887
- offset from the most stable computed form (meV/atom) = 0

5.
A relaxed Mg2ScHgH crystal, computed with PBE-GGA.

Lattice parameters (Å, degrees): 4.5234 4.5234 4.1604 90.00 90.00 90.00
Sites, in units of the cell vectors:
Mg  0.0000  0.5000  0.0000
Mg  0.5000  0.0000  0.0000
Sc  0.0000  0.0000  0.5000
Hg  0.5000  0.5000  0.5000
H  0.0000  0.0000  0.0000

- space-group type = No. 123
- final energy (eV per atom) = -2.8883

6.
A relaxed MgSc2HgH crystal, computed with PBE-GGA.

Lattice parameters (Å, degrees): 4.3845 4.3845 4.5143 90.00 90.00 90.00
Sites, in units of the cell vectors:
Mg  0.0000  0.0000  0.0000
Sc  0.0000  0.5000  0.5000
Sc  0.5000  0.0000  0.5000
Hg  0.5000  0.5000  0.0000
H  0.0000  0.0000  0.5000

- space-group type = No. 123
- final energy (eV per atom) = -3.8935
- offset from the most stable computed form (meV/atom) = 0

7.
A relaxed MgSnHg2H crystal, computed with PBE-GGA.

Lattice parameters (Å, degrees): 4.9738 4.9738 4.2701 90.00 90.00 90.00
Sites, in units of the cell vectors:
Mg  0.0000  0.0000  0.0000
Sn  0.5000  0.5000  0.0000
Hg  0.0000  0.5000  0.5000
Hg  0.5000  0.0000  0.5000
H  0.5000  0.5000  0.5000

- space-group type = No. 123
- final energy (eV per atom) = -1.6846

8.
A relaxed Sr2MgHgH crystal, computed with PBE-GGA.

Lattice parameters (Å, degrees): 5.3714 5.3714 4.4633 90.00 90.00 90.00
Sites, in units of the cell vectors:
Sr  0.0000  0.5000  0.0000
Sr  0.5000  0.0000  0.0000
Mg  0.0000  0.0000  0.5000
Hg  0.5000  0.5000  0.5000
H  0.0000  0.0000  0.0000

- space-group type = No. 123
- final energy (eV per atom) = -2.0382

Magnetic moment (Bohr magnetons per cell)
0.00; 0.00; 0.00; 0.00; 0.00; 1.11; 0.00; 0.00